Record 1
VASP calculation (PBE-GGA) on a relaxed structure of Be2ZnAu3.

Cell lengths 3.016, 3.016, 9.326 Å; angles 90.00, 90.00, 90.00 degrees
Space group P4/mmm (No. 123)
Unique sites:
1 Be 0.000 0.000 0.157 (multiplicity 2)
2 Zn 0.000 0.000 0.500 (multiplicity 1)
3 Au 0.500 0.500 0.000 (multiplicity 1)
4 Au 0.500 0.500 0.307 (multiplicity 2)

Summary:
Its density of states at the Fermi level is 0.38 states/eV/atom. For the calculated formation energy, the calculation gives -13.6 kJ/mol of atoms. The value obtained for the offset from the most stable computed form is 0 meV per atom. The crystal system is tetragonal.



Record 2
VASP calculation (PBE-GGA) on a relaxed structure of CsPa2F11.

Cell lengths 8.622, 11.007, 13.952 Å; angles 90.00, 90.00, 90.00 degrees
Space group Ibam (No. 72)
Unique sites:
1 Cs 0.000 0.000 0.250 (multiplicity 4)
2 Pa 0.138 0.319 0.000 (multiplicity 8)
3 F 0.000 0.500 0.000 (multiplicity 4)
4 F 0.091 0.200 0.112 (multiplicity 16)
5 F 0.138 0.283 0.500 (multiplicity 8)
6 F 0.245 0.421 0.107 (multiplicity 16)

Summary:
Its density of states at the Fermi level is 0.00 states/eV/atom. Its uncorrected formation energy is -3725 meV per atom. The crystal system is orthorhombic.



Record 3
VASP calculation (PBE-GGA) on a relaxed structure of ErTaCoTc.

Cell lengths 6.452, 6.452, 6.452 Å; angles 90.00, 90.00, 90.00 degrees
Space group F-43m (No. 216)
Unique sites:
1 Er 0.000 0.000 0.000 (multiplicity 4)
2 Ta 0.000 0.000 0.500 (multiplicity 4)
3 Co 0.250 0.250 0.250 (multiplicity 4)
4 Tc 0.250 0.250 0.750 (multiplicity 4)

Summary:
Its density of states at the Fermi level is 0.41 states/eV/atom. For the calculated formation energy, the calculation gives -14.0 kJ/mol of atoms. The crystal system is cubic.



Record 4
VASP calculation (PBE-GGA) on a relaxed structure of KZn3C4O12.

Cell lengths 9.6838, 9.6838, 8.3120 Å; angles 90.00, 90.00, 120.00 degrees
Space group R32 (No. 155, hexagonal axes)
Unique sites:
1 K 0.0000 0.0000 0.0000 (multiplicity 3)
2 Zn 0.0000 0.5411 0.0000 (multiplicity 9)
3 C 0.0000 0.0000 0.5000 (multiplicity 3)
4 C 0.0000 0.4579 0.5000 (multiplicity 9)
5 O 0.0000 0.5940 0.5000 (multiplicity 9)
6 O 0.0000 0.8661 0.5000 (multiplicity 9)
7 O 0.0023 0.2060 0.2041 (multiplicity 18)

Summary:
Its density of states at the Fermi level is 0.43 states/eV/atom. Its uncorrected formation energy is -1376 meV per atom. The crystal system is trigonal.



Record 5
VASP calculation (PBE-GGA) on a relaxed structure of In2AgHRh.

Cell lengths 4.822, 4.822, 3.421 Å; angles 90.00, 90.00, 90.00 degrees
Space group P4/mmm (No. 123)
Unique sites:
1 In 0.000 0.500 0.000 (multiplicity 2)
2 Ag 0.000 0.000 0.500 (multiplicity 1)
3 H 0.500 0.500 0.000 (multiplicity 1)
4 Rh 0.500 0.500 0.500 (multiplicity 1)

Summary:
Its density of states at the Fermi level is 0.15 states/eV/atom. For the electronic total energy, the calculation gives -3.82 eV/atom. The crystal system is tetragonal.



Record 6
VASP calculation (PBE-GGA) on a relaxed structure of BaGaIr3.

Cell lengths 5.199, 5.199, 5.199 Å; angles 90.00, 90.00, 90.00 degrees
Space group Pm-3m (No. 221)
Unique sites:
1 Ba 0.000 0.000 0.000 (multiplicity 1)
2 Ga 0.500 0.500 0.500 (multiplicity 1)
3 Ir 0.000 0.000 0.500 (multiplicity 3)

Summary:
Its density of states at the Fermi level is 1.99 states/eV/atom. For the calculated formation energy, the calculation gives 254.2 kJ/mol of atoms. The value obtained for the offset from the most stable computed form is 2047 meV per atom. The crystal system is cubic.



Record 7
VASP calculation (PBE-GGA) on a relaxed structure of NbOsS2N.

Cell lengths 4.801, 4.801, 3.651 Å; angles 90.00, 90.00, 90.00 degrees
Space group P4/mmm (No. 123)
Unique sites:
1 Nb 0.000 0.000 0.000 (multiplicity 1)
2 Os 0.500 0.500 0.500 (multiplicity 1)
3 S 0.000 0.500 0.500 (multiplicity 2)
4 N 0.500 0.500 0.000 (multiplicity 1)

Summary:
Its density of states at the Fermi level is 1.05 states/eV/atom. The value obtained for the offset from the most stable computed form is 0 meV per atom. Its uncorrected formation energy is 533 meV per atom. The crystal system is tetragonal.



Record 8
VASP calculation (PBE-GGA) on a relaxed structure of GdH3Pt.

Cell lengths 3.746, 3.746, 3.746 Å; angles 90.00, 90.00, 90.00 degrees
Space group Pm-3m (No. 221)
Unique sites:
1 Gd 0.000 0.000 0.000 (multiplicity 1)
2 H 0.000 0.500 0.500 (multiplicity 3)
3 Pt 0.500 0.500 0.500 (multiplicity 1)

Summary:
Its density of states at the Fermi level is 0.51 states/eV/atom. For the electronic total energy, the calculation gives -6.55 eV/atom. The crystal system is cubic.



Please write out number 2 again, unchanged.
VASP calculation (PBE-GGA) on a relaxed structure of CsPa2F11.

Cell lengths 8.622, 11.007, 13.952 Å; angles 90.00, 90.00, 90.00 degrees
Space group Ibam (No. 72)
Unique sites:
1 Cs 0.000 0.000 0.250 (multiplicity 4)
2 Pa 0.138 0.319 0.000 (multiplicity 8)
3 F 0.000 0.500 0.000 (multiplicity 4)
4 F 0.091 0.200 0.112 (multiplicity 16)
5 F 0.138 0.283 0.500 (multiplicity 8)
6 F 0.245 0.421 0.107 (multiplicity 16)

Summary:
Its density of states at the Fermi level is 0.00 states/eV/atom. Its uncorrected formation energy is -3725 meV per atom. The crystal system is orthorhombic.